(1)
DFT (PBE-GGA) results for a geometry-optimized Pa5Ga structure.

## Properties
- Total magnetic moment: 0.00 μB per cell
- SG: Cmmm
- Energy of formation: -0.063 eV per atom
- ρ: 14.3 g/cm3

a b c (Å): 3.2037 5.4370 8.6189
angles (deg): 108.39 90.00 90.00
Atoms (fractional coordinates):
Pa 0.0000 0.6628 0.3257
Pa 0.0000 0.3372 0.6743
Pa 0.5000 0.5000 0.0000
Pa 0.5000 0.1665 0.3330
Pa 0.5000 0.8335 0.6670
Ga 0.0000 0.0000 0.0000

---

(2)
DFT (PBE-GGA) results for a geometry-optimized Ca2PuTl2O6 structure.

## Properties
- Uncorrected formation energy: -2.225 eV/atom
- Total magnetic moment: 2.00 μB per cell
- SG: C2/m
- ρ: 6.8 g/cm3

a b c (Å): 5.9835 5.9835 6.7824
angles (deg): 98.65 98.65 119.12
Site moments in Bohr magnetons follow the coordinates.
Atoms (fractional coordinates):
Ca 0.3357 0.6643 0.5000  0.00
Ca 0.6643 0.3357 0.5000  0.00
Pu 0.0000 0.0000 0.5000  2.44
Tl 0.8322 0.1678 0.0000  0.00
Tl 0.1678 0.8322 0.0000  0.00
O 0.7669 0.7669 0.6782  -0.06
O 0.0516 0.3501 0.6652  -0.07
O 0.2331 0.2331 0.3218  -0.06
O 0.3501 0.0516 0.6652  -0.07
O 0.9484 0.6499 0.3348  -0.07
O 0.6499 0.9484 0.3348  -0.07

---

(3)
DFT (PBE-GGA) results for a geometry-optimized DyPuTlCu structure.

## Properties
- Total magnetic moment: 5.75 μB per cell
- SG: F-43m
- Energy of formation: -0.016 eV per atom
- ρ: 11.2 g/cm3

a b c (Å): 5.2053 5.2053 5.2053
angles (deg): 60.00 60.00 60.00
Site moments in Bohr magnetons follow the coordinates.
Atoms (fractional coordinates):
Tl 0.7500 0.7500 0.7500  -0.01
Dy 0.5000 0.5000 0.5000  0.11
Cu 0.2500 0.2500 0.2500  0.01
Pu 0.0000 0.0000 0.0000  5.37

---

(4)
DFT (PBE-GGA) results for a geometry-optimized KLa2Mo structure.

## Properties
- Total magnetic moment: 0.00 μB per cell
- SG: Cmm2
- Energy of formation: 0.732 eV per atom
- ρ: 5.4 g/cm3

a b c (Å): 3.3815 3.3815 12.2076
angles (deg): 90.00 90.00 115.47
Atoms (fractional coordinates):
K 0.5000 0.5000 0.7076
La 0.0000 0.0000 0.0250
La 0.5000 0.5000 0.3029
Mo 0.0000 0.0000 0.4645

---

(5)
DFT (PBE-GGA) results for a geometry-optimized CoSbAs2 structure.

## Properties
- Uncorrected formation energy: 0.148 eV/atom
- Total magnetic moment: 0.00 μB per cell
- SG: R3m
- ρ: 7.3 g/cm3

a b c (Å): 6.6065 6.6065 6.6065
angles (deg): 32.89 32.89 32.89
Atoms (fractional coordinates):
As 0.9963 0.9963 0.9963
As 0.2316 0.2316 0.2316
Co 0.5113 0.5113 0.5113
Sb 0.7607 0.7607 0.7607

---

(6)
DFT (PBE-GGA) results for a geometry-optimized Cr2CdSe structure.

## Properties
- Uncorrected formation energy: 0.291 eV/atom
- Total magnetic moment: 8.18 μB per cell
- SG: P2/m
- ρ: 6.6 g/cm3

a b c (Å): 3.3176 3.3435 7.4418
angles (deg): 63.38 90.00 90.00
Site moments in Bohr magnetons follow the coordinates.
Atoms (fractional coordinates):
Cd 0.5000 0.7500 0.7500  -0.02
Cr 0.0000 0.9782 0.0219  3.74
Cr 0.0000 0.5218 0.4781  3.74
Se 0.5000 0.2500 0.2500  -0.12

---

(7)
DFT (PBE-GGA) results for a geometry-optimized Sr3Ta structure.

## Properties
- Total magnetic moment: 0.00 μB per cell
- SG: R-3m
- Energy of formation: 0.827 eV per atom
- ρ: 5.0 g/cm3

a b c (Å): 12.7806 12.7806 12.7806
angles (deg): 16.57 16.57 16.57
Atoms (fractional coordinates):
Sr 0.2642 0.2642 0.2642
Sr 0.5000 0.5000 0.5000
Sr 0.7358 0.7358 0.7358
Ta 0.0000 0.0000 0.0000

---

(8)
DFT (PBE-GGA) results for a geometry-optimized BaCrNi2 structure.

## Properties
- Total magnetic moment: 7.61 μB per cell
- SG: I4_1/amd
- Energy of formation: 0.483 eV per atom
- ρ: 5.3 g/cm3

a b c (Å): 4.8685 4.8685 8.7904
angles (deg): 73.92 73.92 90.00
Site moments in Bohr magnetons follow the coordinates.
Atoms (fractional coordinates):
Ni 0.3749 0.1250 0.2500  0.01
Ni 0.3751 0.6250 0.2500  0.02
Ni 0.3750 0.6251 0.7500  -0.02
Ni 0.8750 0.6249 0.7500  0.06
Ba 0.0000 0.0000 0.0000  0.03
Ba 0.7500 0.2500 0.5000  0.03
Cr 0.5000 0.5000 0.0000  3.29
Cr 0.2500 0.7500 0.5000  3.29